[1]
Si3Pb5 after structural relaxation, computed with GGA-PBE.

abc: 8.736 8.736 6.443
angles: 90.00 90.00 120.00
Sites, in units of the cell vectors:
Si 0.000 0.407 0.250
Si 0.000 0.593 0.750
Si 0.407 0.000 0.250
Si 0.407 0.407 0.750
Si 0.593 0.000 0.750
Si 0.593 0.593 0.250
Pb 0.000 0.248 0.750
Pb 0.000 0.752 0.250
Pb 0.248 0.000 0.750
Pb 0.248 0.248 0.250
Pb 0.333 0.667 0.000
Pb 0.333 0.667 0.500
Pb 0.667 0.333 0.000
Pb 0.667 0.333 0.500
Pb 0.752 0.000 0.250
Pb 0.752 0.752 0.750

Output
DFT total energy	-63.1	eV per cell
space group	P6_3/mcm (193)
DOS(E_F)	0.44	states/eV per atom

---

[2]
Gd2HoBe after structural relaxation, computed with GGA-PBE.

abc: 3.493 3.493 8.547
angles: 90.00 90.00 90.00
Sites, in units of the cell vectors:
Gd 0.000 0.000 0.195
Gd 0.000 0.000 0.805
Ho 0.500 0.500 0.500
Be 0.500 0.500 0.000

Output
DFT total energy	-36.1	eV per cell
formation energy	34	kJ/mol of formula units
space group	P4/mmm (123)
DOS(E_F)	1.24	states/eV per atom

---

[3]
BePOF2 after structural relaxation, computed with GGA-PBE.

abc: 4.291 4.291 3.510
angles: 90.00 90.00 90.00
Sites, in units of the cell vectors:
Be 0.000 0.000 0.000
P 0.500 0.500 0.500
O 0.500 0.500 0.000
F 0.000 0.500 0.500
F 0.500 0.000 0.500

Output
DFT total energy	-20.5	eV per cell
space group	P4/mmm (123)
DOS(E_F)	0.21	states/eV per atom

---

[4]
CaAlF2 after structural relaxation, computed with GGA-PBE.

abc: 7.370 7.370 7.370
angles: 28.30 28.30 28.30
Sites, in units of the cell vectors:
Ca 0.000 0.000 0.000
Al 0.500 0.500 0.500
F 0.377 0.377 0.377
F 0.623 0.623 0.623

Output
DFT total energy	-19.2	eV per cell
space group	R-3m (166)
DOS(E_F)	0.66	states/eV per atom

---

[5]
Ta2BeAl after structural relaxation, computed with GGA-PBE.

abc: 9.079 9.079 9.079
angles: 18.28 18.28 18.28
Sites, in units of the cell vectors:
Ta 0.245 0.245 0.245
Ta 0.755 0.755 0.755
Be 0.500 0.500 0.500
Al 0.000 0.000 0.000

Output
DFT total energy	-30.5	eV per cell
formation energy	68	kJ/mol of formula units
space group	R-3m (166)
DOS(E_F)	0.97	states/eV per atom

---

[6]
CsPm2S3 after structural relaxation, computed with GGA-PBE.

abc: 8.343 8.343 11.037
angles: 90.00 90.00 147.69
Sites, in units of the cell vectors:
Cs 0.235 0.765 0.750
Cs 0.765 0.235 0.250
Pm 0.027 0.973 0.250
Pm 0.500 0.500 0.000
Pm 0.500 0.500 0.500
Pm 0.973 0.027 0.750
S 0.111 0.889 0.041
S 0.111 0.889 0.459
S 0.444 0.556 0.250
S 0.556 0.444 0.750
S 0.889 0.111 0.541
S 0.889 0.111 0.959

Output
DFT total energy	-65.1	eV per cell
space group	Cmcm (63)
DOS(E_F)	0.37	states/eV per atom

---

[7]
MgNb2BTe after structural relaxation, computed with GGA-PBE.

abc: 5.076 5.076 5.043
angles: 90.00 90.00 90.00
Sites, in units of the cell vectors:
Mg 0.000 0.000 0.000
Nb 0.000 0.500 0.500
Nb 0.500 0.000 0.500
B 0.500 0.500 0.000
Te 0.000 0.000 0.500

Output
DFT total energy	-21.4	eV per cell
space group	P4/mmm (123)
DOS(E_F)	1.29	states/eV per atom

---

[8]
La10Pr3Tl3 after structural relaxation, computed with GGA-PBE.

abc: 9.901 9.901 6.586
angles: 90.00 90.00 120.00
Sites, in units of the cell vectors:
La 0.000 0.235 0.000
La 0.000 0.772 0.500
La 0.228 0.228 0.500
La 0.235 0.000 0.000
La 0.333 0.667 0.230
La 0.333 0.667 0.770
La 0.667 0.333 0.230
La 0.667 0.333 0.770
La 0.765 0.765 0.000
La 0.772 0.000 0.500
Pr 0.000 0.411 0.500
Pr 0.411 0.000 0.500
Pr 0.589 0.589 0.500
Tl 0.000 0.598 0.000
Tl 0.402 0.402 0.000
Tl 0.598 0.000 0.000

Output
DFT total energy	-72.3	eV per cell
formation energy	-152	kJ/mol of formula units
space group	P-62m (189)
DOS(E_F)	1.52	states/eV per atom

---

[9]
Ho8SnRh2 after structural relaxation, computed with GGA-PBE.

abc: 7.898 7.898 5.432
angles: 97.98 97.98 113.74
Sites, in units of the cell vectors:
Ho 0.075 0.330 0.576
Ho 0.246 0.754 0.000
Ho 0.330 0.075 0.576
Ho 0.390 0.390 0.196
Ho 0.610 0.610 0.804
Ho 0.670 0.925 0.424
Ho 0.754 0.246 0.000
Ho 0.925 0.670 0.424
Sn 0.000 0.000 0.000
Rh 0.305 0.695 0.500
Rh 0.695 0.305 0.500

Output
DFT total energy	-60.2	eV per cell
formation energy	-469	kJ/mol of formula units
space group	C2/m (12)
DOS(E_F)	1.11	states/eV per atom

---

[10]
MnTlBr2 after structural relaxation, computed with GGA-PBE.

abc: 9.888 9.888 9.888
angles: 22.00 22.00 22.00
Sites, in units of the cell vectors:
Mn 0.000 0.000 0.000
Tl 0.500 0.500 0.500
Br 0.279 0.279 0.279
Br 0.721 0.721 0.721

Output
DFT total energy	-16.8	eV per cell
space group	R-3m (166)
DOS(E_F)	0.57	states/eV per atom

---

[11]
Pr7Ir2Pd2 after structural relaxation, computed with GGA-PBE.

abc: 6.951 6.951 7.169
angles: 90.00 90.00 106.00
Sites, in units of the cell vectors:
Pr 0.000 0.000 0.000
Pr 0.000 0.500 0.261
Pr 0.000 0.500 0.739
Pr 0.500 0.000 0.261
Pr 0.500 0.000 0.739
Pr 0.500 0.500 0.254
Pr 0.500 0.500 0.746
Ir 0.285 0.715 0.000
Ir 0.715 0.285 0.000
Pd 0.202 0.202 0.500
Pd 0.798 0.798 0.500

Output
DFT total energy	-66.1	eV per cell
formation energy	-433	kJ/mol of formula units
space group	Cmmm (65)
DOS(E_F)	0.73	states/eV per atom

---

[12]
RbMn3Ag4Cl12 after structural relaxation, computed with GGA-PBE.

abc: 8.789 8.789 8.789
angles: 108.16 108.16 108.16
Sites, in units of the cell vectors:
Rb 0.000 0.000 0.000
Mn 0.000 0.578 0.422
Mn 0.422 0.000 0.578
Mn 0.578 0.422 0.000
Ag 0.094 0.500 0.906
Ag 0.500 0.500 0.500
Ag 0.500 0.906 0.094
Ag 0.906 0.094 0.500
Cl 0.028 0.656 0.727
Cl 0.093 0.907 0.500
Cl 0.273 0.344 0.972
Cl 0.323 0.677 0.500
Cl 0.344 0.972 0.273
Cl 0.500 0.093 0.907
Cl 0.500 0.323 0.677
Cl 0.656 0.727 0.028
Cl 0.677 0.500 0.323
Cl 0.727 0.028 0.656
Cl 0.907 0.500 0.093
Cl 0.972 0.273 0.344

Output
DFT total energy	-79.4	eV per cell
space group	R32 (155)
DOS(E_F)	0.54	states/eV per atom

---

[13]
Ta2Nb8Rh after structural relaxation, computed with GGA-PBE.

abc: 7.998 7.998 5.483
angles: 90.20 90.20 34.08
Sites, in units of the cell vectors:
Ta 0.136 0.136 0.317
Ta 0.864 0.864 0.683
Nb 0.045 0.045 0.773
Nb 0.227 0.227 0.862
Nb 0.319 0.319 0.408
Nb 0.410 0.410 0.950
Nb 0.590 0.590 0.050
Nb 0.681 0.681 0.592
Nb 0.773 0.773 0.138
Nb 0.955 0.955 0.227
Rh 0.500 0.500 0.500

Output
DFT total energy	-112.8	eV per cell
formation energy	-115	kJ/mol of formula units
space group	C2/m (12)
DOS(E_F)	1.14	states/eV per atom

---

[14]
PrRh3Pb3 after structural relaxation, computed with GGA-PBE.

abc: 7.309 7.309 7.309
angles: 71.14 71.14 71.14
Sites, in units of the cell vectors:
Pr 0.168 0.168 0.168
Pr 0.832 0.832 0.832
Rh 0.081 0.445 0.793
Rh 0.207 0.919 0.555
Rh 0.445 0.793 0.081
Rh 0.555 0.207 0.919
Rh 0.793 0.081 0.445
Rh 0.919 0.555 0.207
Pb 0.117 0.684 0.384
Pb 0.316 0.616 0.883
Pb 0.384 0.117 0.684
Pb 0.616 0.883 0.316
Pb 0.684 0.384 0.117
Pb 0.883 0.316 0.616

Output
DFT total energy	-78.5	eV per cell
formation energy	-122	kJ/mol of formula units
space group	R-3 (148)
DOS(E_F)	0.64	states/eV per atom

---

[15]
PmNdGaIr after structural relaxation, computed with GGA-PBE.

abc: 5.108 5.108 5.108
angles: 60.00 60.00 60.00
Sites, in units of the cell vectors:
Pm 0.000 0.000 0.000
Nd 0.500 0.500 0.500
Ga 0.250 0.250 0.250
Ir 0.750 0.750 0.750

Output
DFT total energy	-23.5	eV per cell
formation energy	-202	kJ/mol of formula units
space group	F-43m (216)
DOS(E_F)	0.83	states/eV per atom

---

[16]
KNb2AlC after structural relaxation, computed with GGA-PBE.

abc: 4.486 4.486 4.431
angles: 90.00 90.00 90.00
Sites, in units of the cell vectors:
K 0.000 0.000 0.000
Nb 0.000 0.500 0.500
Nb 0.500 0.000 0.500
Al 0.500 0.500 0.000
C 0.500 0.500 0.500

Output
DFT total energy	-29.9	eV per cell
formation energy	411	kJ/mol of formula units
space group	P4/mmm (123)
DOS(E_F)	1.06	states/eV per atom

---

[17]
SrTa2Hg after structural relaxation, computed with GGA-PBE.

abc: 6.385 6.385 3.035
angles: 102.76 102.76 123.61
Sites, in units of the cell vectors:
Sr 0.000 0.000 0.000
Ta 0.000 0.500 0.500
Ta 0.500 0.000 0.500
Hg 0.500 0.500 0.000

Output
DFT total energy	-22.6	eV per cell
formation energy	297	kJ/mol of formula units
space group	C2/m (12)
DOS(E_F)	1.28	states/eV per atom

---

[18]
CaHo2Zr3N6 after structural relaxation, computed with GGA-PBE.

abc: 7.505 7.505 6.735
angles: 103.84 103.84 25.64
Sites, in units of the cell vectors:
Ca 0.000 0.000 0.000
Ho 0.334 0.334 0.669
Ho 0.666 0.666 0.331
Zr 0.000 0.000 0.500
Zr 0.335 0.335 0.167
Zr 0.665 0.665 0.833
N 0.163 0.163 0.591
N 0.173 0.173 0.075
N 0.496 0.496 0.267
N 0.504 0.504 0.733
N 0.827 0.827 0.925
N 0.837 0.837 0.409

Output
DFT total energy	-106.8	eV per cell
space group	C2/m (12)
DOS(E_F)	0.24	states/eV per atom